This record from the Alexandria database describes a relaxed structure of Pm2USi3Ir4. The functional is PBE.

Calculated values
As for the density: 12.2 g/cm3. Its uncorrected formation energy is -0.8663 eV per atom. The total energy comes out at -8.117 eV/atom. The total magnetization comes out at 1.871 μB/cell. As for the symmetry: P-4m2.

Cell and atoms, written as extended XYZ:
```
10
Lattice="4.1836 0.0000 0.0000 0.0000 4.1836 0.0000 0.0000 0.0000 10.7699" Properties=species:S:1:pos:R:3 pbc="T T T"
Pm 0.0000 2.0918 2.4702
Pm 2.0918 0.0000 8.2997
U 0.0000 0.0000 5.3849
Si 0.0000 2.0918 9.4805
Si 2.0918 0.0000 1.2893
Si 2.0918 2.0918 5.3849
Ir 0.0000 0.0000 0.0000
Ir 0.0000 2.0918 7.0503
Ir 2.0918 0.0000 3.7196
Ir 2.0918 2.0918 0.0000
```

***

This record from the Alexandria database describes a relaxed structure of Pm2Si4Ir3W. The functional is PBE.

Calculated values
As for the density: 10.9 g/cm3. Its uncorrected formation energy is -0.8061 eV per atom. The total energy comes out at -7.879 eV/atom. The total magnetization comes out at 0.001 μB/cell. As for the symmetry: P-4m2.

Cell and atoms, written as extended XYZ:
```
10
Lattice="4.1739 0.0000 0.0000 0.0000 4.1739 0.0000 0.0000 0.0000 10.1452" Properties=species:S:1:pos:R:3 pbc="T T T"
Pm 0.0000 2.0870 2.4603
Pm 2.0870 0.0000 7.6849
Si 0.0000 0.0000 0.0000
Si 0.0000 2.0870 6.4703
Si 2.0870 0.0000 3.6750
Si 2.0870 2.0870 0.0000
Ir 0.0000 2.0870 8.9077
Ir 2.0870 0.0000 1.2376
Ir 2.0870 2.0870 5.0726
W 0.0000 0.0000 5.0726
```

***

This record from the Alexandria database describes a relaxed structure of Pm2ZnSi2Ir5. The functional is PBE.

Calculated values
As for the density: 13.4 g/cm3. Its uncorrected formation energy is -0.6845 eV per atom. The total energy comes out at -7.277 eV/atom. The total magnetization comes out at 0.000 μB/cell. As for the symmetry: P4/mbm.

Cell and atoms, written as extended XYZ:
```
20
Lattice="9.8283 0.0000 0.0000 0.0000 9.8283 0.0000 0.0000 0.0000 3.5154" Properties=species:S:1:pos:R:3 pbc="T T T"
Pm 1.7238 3.1903 0.0000
Pm 3.1903 8.1044 0.0000
Pm 6.6380 1.7238 0.0000
Pm 8.1044 6.6380 0.0000
Zn 0.0000 0.0000 0.0000
Zn 4.9141 4.9141 0.0000
Si 1.2230 6.1372 0.0000
Si 3.6911 1.2230 0.0000
Si 6.1372 8.6052 0.0000
Si 8.6052 3.6911 0.0000
Ir 0.0000 4.9141 1.7577
Ir 0.6514 7.7442 1.7577
Ir 2.0840 0.6514 1.7577
Ir 2.8301 5.5655 1.7577
Ir 4.2627 2.8301 1.7577
Ir 4.9141 0.0000 1.7577
Ir 5.5655 6.9982 1.7577
Ir 6.9982 4.2627 1.7577
Ir 7.7442 9.1769 1.7577
Ir 9.1769 2.0840 1.7577
```

***

This record from the Alexandria database describes a relaxed structure of Pm2ZnSi3Ir4. The functional is PBE.

Calculated values
As for the density: 11.5 g/cm3. Its uncorrected formation energy is -0.9247 eV per atom. The total energy comes out at -7.174 eV/atom. The total magnetization comes out at 0.000 μB/cell. As for the symmetry: P-4m2.

Cell and atoms, written as extended XYZ:
```
10
Lattice="4.1723 0.0000 0.0000 0.0000 4.1723 0.0000 0.0000 0.0000 10.0629" Properties=species:S:1:pos:R:3 pbc="T T T"
Pm 0.0000 2.0861 2.4888
Pm 2.0861 0.0000 7.5742
Zn 2.0861 2.0861 0.0000
Si 0.0000 0.0000 0.0000
Si 0.0000 2.0861 6.3129
Si 2.0861 0.0000 3.7500
Ir 0.0000 0.0000 5.0315
Ir 0.0000 2.0861 8.6933
Ir 2.0861 0.0000 1.3697
Ir 2.0861 2.0861 5.0315
```

***

This record from the Alexandria database describes a relaxed structure of Pm2ZnSi4Ir3. The functional is PBE.

Calculated values
As for the density: 9.9 g/cm3. Its uncorrected formation energy is -0.8737 eV per atom. The total energy comes out at -6.779 eV/atom. The total magnetization comes out at 0.000 μB/cell. As for the symmetry: P-4m2.

Cell and atoms, written as extended XYZ:
```
10
Lattice="4.1823 0.0000 0.0000 0.0000 4.1823 0.0000 0.0000 0.0000 10.0337" Properties=species:S:1:pos:R:3 pbc="T T T"
Pm 0.0000 2.0912 2.4358
Pm 2.0912 0.0000 7.5979
Zn 0.0000 0.0000 5.0169
Si 0.0000 0.0000 0.0000
Si 0.0000 2.0912 6.4082
Si 2.0912 0.0000 3.6255
Si 2.0912 2.0912 0.0000
Ir 0.0000 2.0912 8.8010
Ir 2.0912 0.0000 1.2327
Ir 2.0912 2.0912 5.0169
```

***

This record from the Alexandria database describes a relaxed structure of Pm2ZrSi4Ir3. The functional is PBE.

Calculated values
As for the density: 9.6 g/cm3. Its uncorrected formation energy is -0.9243 eV per atom. The total energy comes out at -7.557 eV/atom. The total magnetization comes out at 0.000 μB/cell. As for the symmetry: P-4m2.

Cell and atoms, written as extended XYZ:
```
10
Lattice="4.1720 0.0000 0.0000 0.0000 4.1720 0.0000 0.0000 0.0000 10.6029" Properties=species:S:1:pos:R:3 pbc="T T T"
Pm 0.0000 2.0860 2.5058
Pm 2.0860 0.0000 8.0970
Zr 0.0000 0.0000 5.3014
Si 0.0000 0.0000 0.0000
Si 0.0000 2.0860 6.9606
Si 2.0860 0.0000 3.6423
Si 2.0860 2.0860 0.0000
Ir 0.0000 2.0860 9.3652
Ir 2.0860 0.0000 1.2376
Ir 2.0860 2.0860 5.3014
```

***

This record from the Alexandria database describes a relaxed structure of Pm3SmIr. The functional is PBE.

Calculated values
The energy above the most stable polymorph in this dataset is 55.7 meV per atom. As for the density: 8.3 g/cm3. The total energy comes out at -5.847 eV/atom. The total magnetization comes out at 0.000 μB/cell. As for the symmetry: Pnma. The value obtained for the formation enthalpy at 0 K is -281 meV per atom.

Cell and atoms, written as extended XYZ:
```
20
Lattice="10.2750 0.0000 0.0000 0.0000 4.8117 0.0000 0.0000 0.0000 12.5584" Properties=species:S:1:pos:R:3 pbc="T T T"
Pm 0.8836 1.2029 2.8315
Pm 1.1309 3.6088 6.9884
Pm 1.8666 1.2029 10.1567
Pm 3.2709 3.6088 3.8775
Pm 4.0066 1.2029 0.7092
Pm 4.2538 3.6088 9.1106
Pm 6.0211 1.2029 3.4477
Pm 6.2684 3.6088 11.8492
Pm 7.0041 1.2029 8.6809
Pm 8.4084 3.6088 2.4017
Pm 9.1441 1.2029 5.5700
Pm 9.3913 3.6088 9.7269
Sm 1.1934 3.6088 0.2954
Sm 3.9441 1.2029 6.5746
Sm 6.3309 3.6088 5.9838
Sm 9.0816 1.2029 12.2630
Ir 0.1751 3.6088 4.3089
Ir 4.9624 1.2029 10.5881
Ir 5.3126 3.6088 1.9703
Ir 10.0999 1.2029 8.2495
```

***

This record from the Alexandria database describes a relaxed structure of Pm12SmIr7. The functional is PBE.

Calculated values
As for the density: 8.9 g/cm3. The total energy comes out at -6.655 eV/atom. The total magnetization comes out at 0.000 μB/cell. As for the symmetry: R-3. The value obtained for the formation enthalpy at 0 K is -468 meV per atom.

Cell and atoms, written as extended XYZ:
```
20
Lattice="7.6316 4.4061 2.9975 -7.6316 4.4061 2.9975 0.0000 -8.8122 2.9975" Properties=species:S:1:pos:R:3 pbc="T T T"
Pm -4.3167 1.2264 3.0231
Pm -1.5744 -1.5941 2.6697
Pm 1.0962 -4.3516 3.0231
Pm -3.2204 -3.1252 5.9693
Pm -0.5933 2.1605 2.6697
Pm 2.1677 -0.5664 2.6697
Pm -2.1677 0.5664 6.3228
Pm 0.5933 -2.1605 6.3228
Pm 3.2204 3.1252 3.0231
Pm -1.0962 4.3516 5.9693
Pm 1.5744 1.5941 6.3228
Pm 4.3167 -1.2264 5.9693
Sm 0.0000 0.0000 0.0000
Ir -5.1122 -5.0433 5.0143
Ir -6.9238 1.9057 3.9781
Ir 1.8115 -6.9490 3.9781
Ir 0.0000 0.0000 4.4962
Ir -1.8115 6.9490 5.0143
Ir 6.9238 -1.9057 5.0143
Ir 5.1122 5.0433 3.9781
```

***

Question: Among the records above, which one has the lowest density?
Answer: Pm3SmIr